# WSCl2O (GGA+U, relaxed)
data_WSCl2O
_cell_length_a 5.586
_cell_length_b 5.586
_cell_length_c 3.348
_cell_angle_alpha 90.00
_cell_angle_beta 90.00
_cell_angle_gamma 90.00
_symmetry_space_group_name_H-M 'P 4/m m m'
_symmetry_Int_Tables_number 123
_symmetry_space_group_name_Hall '-P 4 2'
loop_
_atom_site_label
_atom_site_type_symbol
_atom_site_fract_x
_atom_site_fract_y
_atom_site_fract_z
W1 W 0.000 0.000 0.000
S1 S 0.500 0.500 0.000
Cl1 Cl 0.000 0.500 0.500
O1 O 0.500 0.500 0.500
# DOS(E_F) = 1.78 states/eV/cell
# calculated volume = 104.5 Å³/cell
# E above lowest polymorph = 0.0 meV/atom